# 1
# PdRh2Br

An optimized crystal structure of PdRh2Br (PBE, the Alexandria database).

abc: 6.358 6.358 6.358
angles: 90.00 90.00 90.00
Space group Fm-3m (No. 225)
Inequivalent atoms, fractional coordinates:
1 Pd 0.000 0.000 0.000 x4
2 Rh 0.250 0.250 0.250 x8
3 Br 0.000 0.000 0.500 x4

Summary:
- E above lowest polymorph (eV per atom) = 0.0126
- ΔE_f (raw) (eV/atom) = 0.631
- M_tot (μB/cell) = 6.4
- D(E_F) (states/eV/cell) = 28.59

---

# 2
# Th4ZnTe3

An optimized crystal structure of Th4ZnTe3 (PBE, the Alexandria database).

abc: 7.724 8.783 7.728
angles: 90.00 108.78 90.00
Space group P2/c (No. 13)
Inequivalent atoms, fractional coordinates:
1 Th 0.227 0.115 0.002 x4
2 Th 0.234 0.361 0.485 x4
3 Zn 0.000 0.124 0.250 x2
4 Te 0.000 0.375 0.750 x2
5 Te 0.500 0.126 0.750 x2
6 Te 0.500 0.379 0.250 x2

Summary:
- ΔE_f (raw) (eV/atom) = -0.794
- M_tot (μB/cell) = 0.0
- D(E_F) (states/eV/cell) = 13.53

---

# 3
# La3SnPt

An optimized crystal structure of La3SnPt (PBE, the Alexandria database).

abc: 8.419 4.829 15.348
angles: 90.00 90.00 90.00
Space group Pnma (No. 62)
Inequivalent atoms, fractional coordinates:
1 La 0.025 0.250 0.106 x4
2 La 0.138 0.250 0.514 x4
3 La 0.180 0.750 0.279 x4
4 Sn 0.091 0.750 0.676 x4
5 Pt 0.179 0.250 0.941 x4

Summary:
- E above lowest polymorph (eV per atom) = 0.0000
- M_tot (μB/cell) = 0.0
- ΔE_f (eV per atom) = -0.86
- D(E_F) (states/eV/cell) = 18.19

---

# 4
# GePbS3

An optimized crystal structure of GePbS3 (PBE, the Alexandria database).

abc: 11.178 9.113 5.580
angles: 90.00 94.58 90.00
Space group C2/m (No. 12)
Inequivalent atoms, fractional coordinates:
1 Ge 0.000 0.173 0.000 x4
2 Pb 0.190 0.500 0.897 x4
3 S 0.099 0.000 0.783 x4
4 S 0.129 0.293 0.237 x8

Summary:
- E above lowest polymorph (eV per atom) = 0.0432
- ΔE_f (raw) (eV/atom) = -0.395
- M_tot (μB/cell) = 0.0
- D(E_F) (states/eV/cell) = 0.00

---

# 5
# Ba7Li2In2

An optimized crystal structure of Ba7Li2In2 (PBE, the Alexandria database).

abc: 8.901 13.078 9.102
angles: 90.00 90.00 90.00
Space group Cmmm (No. 65)
Inequivalent atoms, fractional coordinates:
1 Ba 0.000 0.000 0.000 x2
2 Ba 0.000 0.500 0.285 x4
3 Ba 0.250 0.250 0.289 x8
4 Li 0.000 0.310 0.000 x4
5 In 0.162 0.000 0.500 x4

Summary:
- M_tot (μB/cell) = 0.0
- ΔE_f (eV per atom) = 0.00
- D(E_F) (states/eV/cell) = 24.14

---

# 6
# TaCr2Br

An optimized crystal structure of TaCr2Br (PBE, the Alexandria database).

abc: 6.387 6.387 6.387
angles: 90.00 90.00 90.00
Space group F-43m (No. 216)
Inequivalent atoms, fractional coordinates:
1 Ta 0.000 0.000 0.000 x4
2 Cr 0.000 0.000 0.500 x4
3 Cr 0.250 0.250 0.250 x4
4 Br 0.250 0.250 0.750 x4

Summary:
- E above lowest polymorph (eV per atom) = 0.6663
- ΔE_f (raw) (eV/atom) = 0.975
- M_tot (μB/cell) = 4.9
- D(E_F) (states/eV/cell) = 20.17

---

# 7
# Ce6AlIn5

An optimized crystal structure of Ce6AlIn5 (PBE, the Alexandria database).

abc: 4.700 14.119 9.495
angles: 90.00 90.00 90.00
Space group Cmmm (No. 65)
Inequivalent atoms, fractional coordinates:
1 Ce 0.000 0.000 0.244 x4
2 Ce 0.000 0.337 0.246 x8
3 Al 0.000 0.500 0.000 x2
4 In 0.000 0.165 0.000 x4
5 In 0.000 0.168 0.500 x4
6 In 0.000 0.500 0.500 x2

Summary:
- M_tot (μB/cell) = 9.5
- ΔE_f (eV per atom) = -0.35
- D(E_F) (states/eV/cell) = 57.67

---

# 8
# La3PbO

An optimized crystal structure of La3PbO (PBE, the Alexandria database).

abc: 7.722 18.191 5.973
angles: 90.00 90.00 90.00
Space group Cmcm (No. 63)
Inequivalent atoms, fractional coordinates:
1 La 0.000 0.000 0.000 x4
2 La 0.247 0.332 0.250 x8
3 Pb 0.000 0.171 0.250 x4
4 O 0.000 0.381 0.250 x4

Summary:
- ΔE_f (raw) (eV/atom) = -0.955
- M_tot (μB/cell) = 1.7
- D(E_F) (states/eV/cell) = 16.40